No. 1
A plane-wave DFT calculation with PBE was carried out for crystalline NdSm15Ho4 at its relaxed geometry.

## Properties
As for the space group: No. 123. Its formation enthalpy at 0 K is 0.32 eV/f.u.

```
NdSm15Ho4
1.0
5.108 0.000 0.000
0.000 5.108 0.000
0.000 0.000 25.480
Nd Sm Ho
1 15 4
Direct
0.000 0.000 0.000
0.000 0.500 0.102
0.000 0.500 0.301
0.000 0.500 0.500
0.000 0.500 0.699
0.000 0.500 0.898
0.500 0.000 0.102
0.500 0.000 0.301
0.500 0.000 0.500
0.500 0.000 0.699
0.500 0.000 0.898
0.500 0.500 0.000
0.500 0.500 0.202
0.500 0.500 0.400
0.500 0.500 0.600
0.500 0.500 0.798
0.000 0.000 0.201
0.000 0.000 0.400
0.000 0.000 0.600
0.000 0.000 0.799
```

No. 2
A plane-wave DFT calculation with PBE was carried out for crystalline Li2LaZr at its relaxed geometry.

## Properties
As for the space group: No. 99. Its formation enthalpy at 0 K is 0.62 eV/f.u.

```
Li2LaZr
1.0
3.377 0.000 0.000
0.000 3.377 0.000
0.000 0.000 8.475
Li La Zr
2 1 1
Direct
0.000 0.000 0.000
0.500 0.500 0.178
0.500 0.500 0.688
0.000 0.000 0.412
```

No. 3
A plane-wave DFT calculation with PBE was carried out for crystalline CdAsIO2 at its relaxed geometry.

## Properties
Its electronic total energy is -18.0 eV per formula unit. As for the space group: No. 123.

```
CdAsIO2
1.0
4.014 0.000 0.000
0.000 4.014 0.000
0.000 0.000 6.243
Cd As I O
1 1 1 2
Direct
0.000 0.000 0.000
0.500 0.500 0.500
0.500 0.500 0.000
0.000 0.500 0.500
0.500 0.000 0.500
```